# Ba8V7O22

Crystalline Ba8V7O22 at its relaxed geometry (PBE with a Hubbard U, the Alexandria database).

Results
Magnetization   7.0 Bohr magnetons per cell
Electronic total energy   -7.2411 eV/atom
Space-group type   R-3m (166)

abc: 5.887 5.887 19.758
angles: 81.43 81.43 60.00
Element x y z (fractional)
O 0.200 0.686 0.427
O 0.717 0.174 0.935
O 0.800 0.314 0.573
O 0.686 0.686 0.427
O 0.896 0.896 0.800
O 0.104 0.104 0.200
O 0.896 0.408 0.800
O 0.686 0.200 0.427
O 0.314 0.800 0.573
O 0.174 0.717 0.935
O 0.104 0.592 0.200
O 0.174 0.174 0.935
O 0.564 0.564 0.308
O 0.436 0.436 0.692
O 0.283 0.826 0.065
O 0.592 0.104 0.200
O 0.314 0.314 0.573
O 0.826 0.826 0.065
O 0.408 0.896 0.800
O 0.774 0.774 0.678
O 0.826 0.283 0.065
O 0.226 0.226 0.322
Ba 0.894 0.894 0.318
Ba 0.681 0.681 0.957
Ba 0.181 0.181 0.457
Ba 0.612 0.612 0.164
Ba 0.819 0.819 0.543
Ba 0.319 0.319 0.043
Ba 0.388 0.388 0.836
Ba 0.106 0.106 0.682
V 0.000 0.000 0.000
V 0.256 0.256 0.233
V 0.534 0.534 0.397
V 0.955 0.955 0.135
V 0.466 0.466 0.603
V 0.045 0.045 0.865
V 0.744 0.744 0.767